Y2Ga2Ir: relaxed, PBE.

Its density is 8.26 g cm⁻³. As for the energy of formation: -3.398 eV/f.u. The value obtained for the size of the total moment is 0.00 μB/atom.

extended XYZ file:
```
10
Lattice="6.951 0.000 0.000 0.000 6.951 0.000 0.000 0.000 4.242" Properties=species:S:1:pos:R:3 pbc="T T T"
Y 1.228 2.248 0.000
Y 2.248 5.723 0.000
Y 4.703 1.228 0.000
Y 5.723 4.703 0.000
Ga 0.906 4.381 2.121
Ga 2.570 0.906 2.121
Ga 4.381 6.045 2.121
Ga 6.045 2.570 2.121
Ir 0.000 0.000 2.121
Ir 3.476 3.476 2.121
```